[1]
Computed, not measured: HoMg2Zn6 after structural relaxation at the GGA-PBE level of DFT. Values from VASP.

Cell and atoms, written as Quantum ESPRESSO input:
```
&SYSTEM
  ibrav = 0, nat = 9, ntyp = 3
/
ATOMIC_SPECIES
Mg 24.30 Mg.upf
Ho 164.93 Ho.upf
Zn 65.41 Zn.upf
CELL_PARAMETERS angstrom
-2.141 -0.404 -2.576
-0.685 -7.297 1.713
-3.629 5.256 4.402
ATOMIC_POSITIONS angstrom
Mg -1.404 0.391 1.106
Ho -0.342 -3.649 0.857
Zn -3.070 -2.050 0.664
Zn -3.384 -0.395 2.875
Mg -5.050 -2.837 2.433
Zn -3.140 2.213 2.263
Zn -1.638 -6.253 0.133
Zn -3.315 -4.659 1.276
Zn -1.187 -1.448 -0.995
```

Values from the calculation:
SG ... No. 71
Energy of formation from the pure elements ... -0.15 eV per atom
DOS(E_F) ... 0.4657 states/eV per atom



[2]
Computed, not measured: Ho2Mg3Zn2 after structural relaxation at the GGA-PBE level of DFT. Values from VASP.

Cell and atoms, written as Quantum ESPRESSO input:
```
&SYSTEM
  ibrav = 0, nat = 7, ntyp = 3
/
ATOMIC_SPECIES
Zn 65.41 Zn.upf
Mg 24.30 Mg.upf
Ho 164.93 Ho.upf
CELL_PARAMETERS angstrom
4.418 0.000 0.000
-2.209 5.101 0.086
0.000 -1.068 7.113
ATOMIC_POSITIONS angstrom
Zn 0.000 0.157 4.623
Mg 0.000 0.000 0.000
Zn 2.209 3.875 2.576
Mg 2.209 0.966 6.163
Ho 2.209 0.923 2.566
Mg 0.000 3.066 1.035
Ho 0.000 3.110 4.632
```

Values from the calculation:
SG ... No. 12
Energy of formation from the pure elements ... -0.18 eV per atom
DOS(E_F) ... 0.6317 states/eV per atom



[3]
Computed, not measured: HoMg2Zn after structural relaxation at the GGA-PBE level of DFT. Values from VASP.

Cell and atoms, written as Quantum ESPRESSO input:
```
&SYSTEM
  ibrav = 0, nat = 8, ntyp = 3
/
ATOMIC_SPECIES
Ho 164.93 Ho.upf
Zn 65.41 Zn.upf
Mg 24.30 Mg.upf
CELL_PARAMETERS angstrom
4.181 0.005 0.000
-2.088 5.368 0.000
0.000 0.000 8.086
ATOMIC_POSITIONS angstrom
Ho 2.091 0.635 2.022
Ho 0.002 4.738 6.065
Zn 0.006 2.870 2.022
Zn 2.087 2.504 6.065
Mg 2.089 3.844 0.438
Mg 2.089 3.844 3.605
Mg 0.004 1.530 4.481
Mg 0.004 1.530 7.648
```

Values from the calculation:
SG ... No. 11
Energy of formation from the pure elements ... -0.18 eV per atom
DOS(E_F) ... 0.4551 states/eV per atom